Density functional theory data (GGA-PBE) for an optimized crystal structure of PmPt2O6.

Values from the calculation:
The calculation puts the formation energy without anion corrections at -1.288 eV/atom. Its space-group type is P-31m, No. 162. The total magnetic moment comes out at 0.08 μB per atom.

```
9
Lattice="5.312 0.000 0.000 -2.656 4.600 0.000 0.000 0.000 4.992" Properties=species:S:1:pos:R:3 pbc="T T T"
Pm 0.000 0.000 0.000
Pt 0.000 3.067 2.496
Pt 2.656 1.533 2.496
O -0.955 1.653 3.580
O -1.701 2.947 1.412
O 1.909 0.000 3.580
O 0.955 1.653 1.412
O 3.402 0.000 1.412
O 1.701 2.947 3.580
```